(1)
Tl3Ag2I2Cl3 | PBE | optimized geometry

The structure in CIF format:
```
data_Tl3Ag2I2Cl3
_cell_length_a 13.4381
_cell_length_b 13.4381
_cell_length_c 13.4381
_cell_angle_alpha 156.22
_cell_angle_beta 156.22
_cell_angle_gamma 33.87
_space_group_name_H-M_alt 'P 1'
_space_group_IT_number 1
_space_group_name_Hall 'P 1'
loop_
_atom_site_label
_atom_site_fract_x
_atom_site_fract_y
_atom_site_fract_z
Tl1 0.0000 0.0000 0.0000
Tl2 0.3791 0.3791 0.0000
Tl3 0.6209 0.6209 0.0000
Ag1 0.2130 0.2130 0.0000
Ag2 0.7870 0.7870 0.0000
I1 0.2500 0.7500 0.5000
I2 0.7500 0.2500 0.5000
Cl1 0.1132 0.1132 0.0000
Cl2 0.5000 0.5000 0.0000
Cl3 0.8868 0.8868 0.0000
```

Output
Energy, eV per atom: -2.709
Energy relative to the elements, uncorrected, eV per atom: -0.56
Volume, Å³/f.u.: 394.0
Space group: I4/mmm, No. 139

(2)
Cd6Ag3Au | PBE | optimized geometry

The structure in CIF format:
```
data_Cd6Ag3Au
_cell_length_a 7.6732
_cell_length_b 6.9997
_cell_length_c 10.2895
_cell_angle_alpha 90.00
_cell_angle_beta 129.83
_cell_angle_gamma 90.00
_space_group_name_H-M_alt 'P 1'
_space_group_IT_number 1
_space_group_name_Hall 'P 1'
loop_
_atom_site_label
_atom_site_fract_x
_atom_site_fract_y
_atom_site_fract_z
Cd1 0.0046 0.1306 0.2948
Cd2 0.0046 0.3694 0.7948
Cd3 0.2520 0.1765 0.6825
Cd4 0.2520 0.3235 0.1825
Cd5 0.3959 0.6101 0.8410
Cd6 0.3959 0.8899 0.3410
Cd7 0.6041 0.1101 0.6590
Cd8 0.6041 0.3899 0.1590
Cd9 0.7480 0.6765 0.8175
Cd10 0.7480 0.8235 0.3175
Cd11 0.9954 0.6306 0.2052
Cd12 0.9954 0.8694 0.7052
Ag1 0.2664 0.6858 0.0440
Ag2 0.2664 0.8142 0.5440
Ag3 0.5000 0.0000 0.0000
Ag4 0.5000 0.5000 0.5000
Ag5 0.7336 0.1858 0.4560
Ag6 0.7336 0.3142 0.9560
Au1 0.0000 0.0000 0.0000
Au2 0.0000 0.5000 0.5000
```

Output
Energy, eV per atom: -1.736
Formation energy from the elements, meV/atom: -4
Volume, Å³/f.u.: 212.2
Space group: P2_1/c, No. 14

Question: Which of these has the highest volume?
Answer: Tl3Ag2I2Cl3